Computed, not measured: a relaxed structure of TiVNi6 at the GGA-PBE level of DFT.

Cell: 4.769 4.769 4.769 Å, 85.26 85.26 85.26°
Element x y z (fractional)
Ni  0.837  0.466  0.837
Ni  0.534  0.163  0.163
Ni  0.466  0.837  0.837
Ni  0.837  0.837  0.466
Ni  0.163  0.163  0.534
Ni  0.163  0.534  0.163
V  0.500  0.500  0.500
Ti  0.000  0.000  0.000

Output
- Symmetry: R-3m
- Calculated total energy: -49.108 eV/cell


Computed, not measured: a relaxed structure of TiV2Ni at the GGA-PBE level of DFT.

Cell: 2.996 2.996 6.074 Å, 90.00 90.00 90.00°
Element x y z (fractional)
V  0.000  0.000  0.762
V  0.000  0.000  0.238
Ti  0.500  0.500  0.500
Ni  0.500  0.500  0.000

Output
- Symmetry: P4/mmm
- Calculated total energy: -31.856 eV/cell


Computed, not measured: a relaxed structure of TiV2Ni4 at the GGA-PBE level of DFT.

Cell: 6.532 4.078 7.180 Å, 106.52 104.81 89.99°
Element x y z (fractional)
Ni  0.915  0.662  0.182
Ni  0.624  0.948  0.752
Ni  0.962  0.273  0.403
Ni  0.309  0.010  0.877
Ni  0.551  0.530  0.916
Ni  0.950  0.887  0.631
Ni  0.273  0.621  0.100
Ni  0.344  0.226  0.309
V  0.668  0.369  0.594
V  0.147  0.446  0.750
V  0.636  0.750  0.356
V  0.625  0.142  0.141
Ti  0.260  0.812  0.483
Ti  0.986  0.074  0.006

Output
- Symmetry: Cm
- Calculated total energy: -100.764 eV/cell


Computed, not measured: a relaxed structure of Ti4VNi3 at the GGA-PBE level of DFT.

Cell: 2.998 2.998 12.468 Å, 90.00 90.00 90.00°
Element x y z (fractional)
Ni  0.500  0.500  0.255
Ni  0.500  0.500  0.500
Ni  0.500  0.500  0.745
Ti  0.000  0.000  0.130
Ti  0.000  0.000  0.870
Ti  0.000  0.000  0.621
Ti  0.000  0.000  0.379
V  0.500  0.500  0.000

Output
- Symmetry: P4/mmm
- Calculated total energy: -60.122 eV/cell


Computed, not measured: a relaxed structure of TiVNi2 at the GGA-PBE level of DFT.

Cell: 6.584 6.584 5.279 Å, 51.41 51.41 90.00°
Element x y z (fractional)
Ti  0.250  0.750  0.500
Ti  0.500  0.500  0.000
Ni  0.639  0.125  0.250
Ni  0.111  0.625  0.250
Ni  0.875  0.889  0.750
Ni  0.375  0.361  0.750
V  0.750  0.250  0.500
V  0.000  0.000  0.000

Output
- Symmetry: I-42d
- Calculated total energy: -56.195 eV/cell


Computed, not measured: a relaxed structure of TiVNi at the GGA-PBE level of DFT.

Cell: 4.641 2.558 7.052 Å, 79.55 90.00 90.00°
Element x y z (fractional)
Ti  0.250  0.184  0.633
Ti  0.750  0.816  0.367
Ni  0.250  0.359  0.282
Ni  0.750  0.641  0.718
V  0.000  0.000  0.000
V  0.500  0.000  0.000

Output
- Symmetry: Cmcm
- Calculated total energy: -45.945 eV/cell


Computed, not measured: a relaxed structure of TiVNi2 at the GGA-PBE level of DFT.

Cell: 2.606 2.606 7.423 Å, 90.00 90.00 90.00°
Element x y z (fractional)
Ni  0.000  0.000  0.257
Ni  0.000  0.000  0.743
V  0.500  0.500  0.500
Ti  0.500  0.500  0.000

Output
- Symmetry: P4/mmm
- Calculated total energy: -29.501 eV/cell


Computed, not measured: a relaxed structure of Ti5VNi4 at the GGA-PBE level of DFT.

Cell: 3.026 3.026 15.206 Å, 90.00 90.00 90.00°
Element x y z (fractional)
Ni  0.000  0.000  0.206
Ni  0.000  0.000  0.603
Ni  0.000  0.000  0.397
Ni  0.000  0.000  0.794
V  0.000  0.000  0.000
Ti  0.500  0.500  0.104
Ti  0.500  0.500  0.500
Ti  0.500  0.500  0.695
Ti  0.500  0.500  0.305
Ti  0.500  0.500  0.896

Output
- Symmetry: P4/mmm
- Calculated total energy: -74.529 eV/cell


Computed, not measured: a relaxed structure of Ti3VNi6 at the GGA-PBE level of DFT.

Cell: 4.398 8.106 8.106 Å, 115.97 90.00 90.00°
Element x y z (fractional)
Ni  0.511  0.955  0.045
Ni  0.539  0.278  0.392
Ni  0.830  0.488  0.042
Ni  0.039  0.392  0.278
Ni  0.039  0.722  0.608
Ni  0.596  0.282  0.718
Ni  0.330  0.512  0.958
Ni  0.096  0.718  0.282
Ni  0.330  0.042  0.488
Ni  0.011  0.045  0.955
Ni  0.830  0.958  0.512
Ni  0.539  0.608  0.722
Ti  0.056  0.408  0.592
Ti  0.010  0.073  0.266
Ti  0.010  0.734  0.927
Ti  0.556  0.592  0.408
Ti  0.510  0.927  0.734
Ti  0.510  0.266  0.073
V  0.563  0.792  0.208
V  0.063  0.208  0.792

Output
- Symmetry: Cmc2_1
- Calculated total energy: -139.086 eV/cell


Computed, not measured: a relaxed structure of TiVNi2 at the GGA-PBE level of DFT.

Cell: 3.740 3.674 3.674 Å, 90.00 90.00 90.00°
Element x y z (fractional)
Ni  0.000  0.500  0.000
Ni  0.000  0.000  0.500
V  0.500  0.500  0.500
Ti  0.500  0.000  0.000

Output
- Symmetry: P4/mmm
- Calculated total energy: -29.474 eV/cell


Computed, not measured: a relaxed structure of Ti5V2Ni12 at the GGA-PBE level of DFT.

Cell: 4.753 7.629 8.475 Å, 115.05 90.00 108.15°
Element x y z (fractional)
Ni  0.937  0.360  0.129
Ni  0.589  0.684  0.389
Ni  0.423  0.360  0.129
Ni  0.095  0.684  0.389
Ni  0.577  0.640  0.871
Ni  0.505  0.010  0.355
Ni  0.903  0.807  0.692
Ni  0.097  0.193  0.308
Ni  0.905  0.316  0.611
Ni  0.411  0.316  0.611
Ni  0.495  0.990  0.645
Ni  0.063  0.640  0.871
Ti  0.317  0.633  0.618
Ti  0.683  0.367  0.382
Ti  0.665  0.329  0.881
Ti  0.000  0.000  0.500
Ti  0.335  0.671  0.119
V  0.250  0.000  0.000
V  0.750  0.000  0.000

Output
- Symmetry: C2/m
- Calculated total energy: -128.063 eV/cell


Computed, not measured: a relaxed structure of TiVNi6 at the GGA-PBE level of DFT.

Cell: 4.163 5.052 5.052 Å, 120.01 90.00 90.00°
Element x y z (fractional)
V  0.000  0.083  0.917
Ni  0.500  0.916  0.582
Ni  0.000  0.076  0.413
Ni  0.000  0.587  0.413
Ni  0.500  0.418  0.084
Ni  0.500  0.916  0.084
Ni  0.000  0.587  0.924
Ti  0.500  0.417  0.583

Output
- Symmetry: P-6m2
- Calculated total energy: -54.434 eV/cell


Computed, not measured: a relaxed structure of TiV2Ni9 at the GGA-PBE level of DFT.

Cell: 3.580 3.580 10.752 Å, 90.00 90.00 90.00°
Element x y z (fractional)
Ni  0.000  0.500  0.170
Ni  0.000  0.500  0.830
Ni  0.500  0.000  0.170
Ni  0.500  0.500  0.666
Ni  0.500  0.500  0.334
Ni  0.500  0.000  0.830
Ni  0.500  0.000  0.500
Ni  0.000  0.500  0.500
Ni  0.500  0.500  0.000
V  0.000  0.000  0.665
V  0.000  0.000  0.335
Ti  0.000  0.000  0.000

Output
- Symmetry: P4/mmm
- Calculated total energy: -81.266 eV/cell


Computed, not measured: a relaxed structure of Ti2V2Ni at the GGA-PBE level of DFT.

Cell: 3.038 3.038 7.941 Å, 101.03 101.03 90.00°
Element x y z (fractional)
Ni  0.000  0.000  0.000
V  0.795  0.795  0.591
V  0.205  0.205  0.409
Ti  0.600  0.600  0.199
Ti  0.400  0.400  0.801

Output
- Symmetry: I4/mmm
- Calculated total energy: -40.725 eV/cell


Computed, not measured: a relaxed structure of TiV3Ni at the GGA-PBE level of DFT.

Cell: 4.352 4.352 4.352 Å, 90.00 90.00 90.00°
Element x y z (fractional)
Ti  0.500  0.500  0.500
V  0.500  0.000  0.000
V  0.000  0.000  0.500
V  0.000  0.500  0.000
Ni  0.000  0.000  0.000

Output
- Symmetry: Pm-3m
- Calculated total energy: -36.877 eV/cell


Computed, not measured: a relaxed structure of TiV2Ni at the GGA-PBE level of DFT.

Cell: 6.837 6.837 5.423 Å, 50.92 50.92 90.00°
Element x y z (fractional)
V  0.375  0.346  0.750
V  0.096  0.625  0.250
V  0.654  0.125  0.250
V  0.875  0.904  0.750
Ti  0.500  0.500  0.000
Ti  0.250  0.750  0.500
Ni  0.000  0.000  0.000
Ni  0.750  0.250  0.500

Output
- Symmetry: I-42d
- Calculated total energy: -61.565 eV/cell


Computed, not measured: a relaxed structure of TiVNi5 at the GGA-PBE level of DFT.

Cell: 3.546 3.546 6.963 Å, 90.00 90.00 90.00°
Element x y z (fractional)
Ni  0.000  0.500  0.769
Ni  0.500  0.500  0.500
Ni  0.500  0.000  0.769
Ni  0.500  0.000  0.231
Ni  0.000  0.500  0.231
V  0.500  0.500  0.000
Ti  0.000  0.000  0.500

Output
- Symmetry: P4/mmm
- Calculated total energy: -46.838 eV/cell


Number 1: magnetization 0.000 μB/f.u., theoretical density 6.97 g cm⁻³. Number 2: magnetization 0.001 μB/f.u., theoretical density 6.35 g cm⁻³. Number 3: magnetization 0.000 μB/f.u., theoretical density 7.22 g cm⁻³. Number 4: magnetization 0.003 μB/f.u., theoretical density 6.20 g cm⁻³. Number 5: magnetization 0.000 μB/f.u., theoretical density 6.66 g cm⁻³. Number 6: magnetization 0.000 μB/f.u., theoretical density 6.35 g cm⁻³. Number 7: magnetization 0.000 μB/f.u., theoretical density 7.12 g cm⁻³. Number 8: magnetization 0.000 μB/f.u., theoretical density 6.26 g cm⁻³. Number 9: magnetization 0.000 μB/f.u., theoretical density 6.99 g cm⁻³. Number 10: magnetization 0.013 μB/f.u., theoretical density 7.11 g cm⁻³. Number 11: magnetization 0.000 μB/f.u., theoretical density 6.64 g cm⁻³. Number 12: magnetization 0.390 μB/f.u., theoretical density 8.14 g cm⁻³. Number 13: magnetization 2.227 μB/f.u., theoretical density 8.17 g cm⁻³. Number 14: magnetization 0.000 μB/f.u., theoretical density 6.03 g cm⁻³. Number 15: magnetization 1.282 μB/f.u., theoretical density 5.23 g cm⁻³. Number 16: magnetization 0.000 μB/f.u., theoretical density 6.03 g cm⁻³. Number 17: magnetization 0.000 μB/f.u., theoretical density 7.44 g cm⁻³.